[1]
Nd3YEr5 | PBE | optimized geometry

Output
- Final energy: -77.62 eV per cell
- ρ: 6.84 g/cm³
- Total moment: 0.000 μB/cell

abc: 9.525 9.525 11.660
angles: 52.37 52.37 72.39
Sites, in units of the cell vectors:
Nd1 0.703 0.703 0.807
Nd2 0.659 0.659 0.366
Nd3 0.000 0.000 0.000
Nd4 0.000 0.000 0.500
Nd5 0.297 0.297 0.193
Nd6 0.341 0.341 0.634
Y1 0.151 0.151 0.602
Y2 0.849 0.849 0.398
Er1 0.844 0.344 0.246
Er2 0.259 0.741 0.000
Er3 0.812 0.812 0.967
Er4 0.492 0.492 0.223
Er5 0.508 0.508 0.777
Er6 0.188 0.188 0.033
Er7 0.344 0.844 0.246
Er8 0.741 0.259 0.000
Er9 0.156 0.656 0.754
Er10 0.656 0.156 0.754

---

[2]
NdY8Er3 | PBE | optimized geometry

Output
- Final energy: -68.74 eV per cell
- ρ: 5.79 g/cm³
- Total moment: 0.000 μB/cell

abc: 11.826 12.720 9.829
angles: 147.70 90.00 117.70
Sites, in units of the cell vectors:
Nd1 0.000 0.000 0.000
Y1 0.328 0.655 0.998
Y2 0.672 0.345 0.002
Y3 0.338 0.160 0.992
Y4 0.822 0.160 0.992
Y5 0.826 0.652 0.979
Y6 0.174 0.348 0.021
Y7 0.178 0.840 0.008
Y8 0.662 0.840 0.008
Er1 0.500 0.000 0.000
Er2 0.500 0.500 0.000
Er3 0.000 0.500 0.000

---

[3]
NdYEr | PBE | optimized geometry

Output
- Relative energy among the computed polymorphs: 25 meV per atom
- ρ: 6.79 g/cm³
- Total moment: 0.002 μB/cell

abc: 3.588 6.200 9.502
angles: 70.93 79.13 90.01
Sites, in units of the cell vectors:
Nd1 0.585 0.918 0.831
Nd2 0.415 0.082 0.169
Y1 0.086 0.419 0.829
Y2 0.914 0.581 0.171
Er1 0.750 0.750 0.500
Er2 0.250 0.250 0.500